No. 1
A relaxed CaHfTcPb2 crystal, computed with GGA-PBE.

Summary:
As for the space group: P4/mmm. As for the formation energy: 1.884 eV per atom.

The structure in POSCAR format:
```
CaHfTcPb2
1.0
5.547 0.000 0.000
0.000 5.547 0.000
0.000 0.000 5.164
Ca Hf Tc Pb
1 1 1 2
Cartesian
0.000 0.000 0.000
0.000 0.000 2.582
2.774 2.774 2.582
0.000 2.774 0.000
2.774 0.000 0.000
```



No. 2
A relaxed DyTm2PaRu2 crystal, computed with GGA-PBE.

Summary:
As for the space group: Ibam. As for the formation energy: -0.288 eV per atom.

The structure in POSCAR format:
```
DyTm2PaRu2
1.0
-3.420 6.787 3.337
3.420 -6.787 3.337
3.420 6.787 -3.337
Dy Tm Pa Ru
2 4 2 4
Cartesian
0.000 0.000 1.668
0.000 0.000 5.005
4.700 2.689 0.000
1.280 4.098 0.000
2.140 2.689 3.337
-1.280 4.098 3.337
3.420 0.000 1.668
0.000 6.787 1.668
2.025 1.418 0.000
2.025 -1.418 3.337
1.394 8.205 0.000
1.394 5.369 3.337
```



No. 3
A relaxed Li2AgPd8 crystal, computed with GGA-PBE.

Summary:
As for the space group: C2/m. As for the formation energy: -0.163 eV per atom.

The structure in POSCAR format:
```
Li2AgPd8
1.0
7.095 -1.941 0.000
7.095 1.941 0.000
-1.692 0.000 6.035
Li Ag Pd
2 1 8
Cartesian
2.982 0.000 0.862
9.516 0.000 5.174
6.249 0.000 3.018
0.305 0.000 1.349
0.833 0.000 4.194
3.491 0.000 3.565
5.664 0.000 0.253
6.834 0.000 5.782
9.008 0.000 2.470
11.665 0.000 1.841
12.193 0.000 4.686
```



No. 4
A relaxed ErTmFe10 crystal, computed with GGA-PBE.

Summary:
As for the space group: Pmmm. As for the formation energy: -0.068 eV per atom.

The structure in POSCAR format:
```
ErTmFe10
1.0
3.944 0.000 0.000
0.000 4.965 0.000
0.000 0.000 8.564
Er Tm Fe
1 1 10
Cartesian
0.000 0.000 0.000
0.000 2.482 4.282
0.000 0.000 2.862
0.000 0.000 5.702
0.000 2.482 1.429
0.000 2.482 7.135
1.972 0.000 4.282
1.972 1.243 2.146
1.972 1.243 6.418
1.972 2.482 0.000
1.972 3.722 2.146
1.972 3.722 6.418
```